1.
8
Lattice="4.713 -1.195 1.234 -1.405 5.924 0.874 2.823 1.208 10.769" Properties=species:S:1:pos:R:3 comment="GGA-PBE TbEr2Th, optimized geometry" e_above_lowest_polymorph_ev_per_atom=0.0425 total_energy_ev_per_atom=-5.2594 dos_at_fermi_per_ev_atom=1.53 spacegroup="P-1, No. 2" ef_kj_per_mol_atoms=3 pbc="T T T"
Th 0.752 4.673 1.734
Tb 1.683 5.875 9.520
Tb 4.291 1.723 5.750
Th 2.399 1.717 2.767
Er 4.523 4.683 7.713
Er 1.451 2.915 7.558
Er 2.645 4.690 4.699
Er 3.329 2.908 10.571

---

2.
9
Lattice="-3.593 -1.404 3.268 3.231 -4.927 5.347 -0.097 5.186 6.033" Properties=species:S:1:pos:R:3 comment="GGA-PBE Tb4ErTh4, optimized geometry" total_energy_ev_per_atom=-5.8171 dos_at_fermi_per_ev_atom=1.55 spacegroup="I4/mmm, No. 139" ef_kj_per_mol_atoms=4 pbc="T T T"
Th -0.227 3.084 8.897
Tb 0.932 -0.285 8.724
Tb 2.142 -1.616 5.571
Tb -2.600 0.471 9.077
Er 0.000 0.000 0.000
Tb -1.391 -0.859 5.924
Th -1.233 1.249 3.092
Th 0.774 -2.394 11.556
Th -0.232 -4.229 5.751

---

3.
20
Lattice="-3.403 -3.359 7.210 1.317 -8.030 -2.938 7.796 -0.253 3.743" Properties=species:S:1:pos:R:3 comment="GGA-PBE Tb7Er12Th, optimized geometry" e_above_lowest_polymorph_ev_per_atom=0.0000 total_energy_ev_per_atom=-4.4880 dos_at_fermi_per_ev_atom=2.09 spacegroup="R-3, No. 148" ef_kj_per_mol_atoms=23 pbc="T T T"
Er 0.827 -9.504 3.878
Tb -0.013 -1.698 3.191
Er 4.883 -2.138 4.136
Tb 3.012 -1.512 1.306
Tb 0.338 -3.594 0.187
Er 3.709 -8.268 2.101
Er 4.991 -4.678 1.890
Tb 2.698 -10.130 6.709
Er 2.488 -6.270 -0.159
Er 0.719 -6.964 6.125
Er 3.222 -5.372 8.173
Th 0.000 0.000 0.000
Er -1.036 -4.507 4.913
Tb 2.855 -5.821 4.007
Er 2.001 -3.374 5.914
Tb 5.373 -8.048 7.827
Er 5.469 -4.949 5.667
Tb 5.723 -9.944 4.824
Er 6.747 -7.135 3.101
Er 0.241 -6.693 2.347

---

4.
15
Lattice="-9.793 0.508 -3.377 -5.498 -6.516 -0.962 -7.065 1.136 4.733" Properties=species:S:1:pos:R:3 comment="GGA-PBE Tb4Er10Th, optimized geometry" total_energy_ev_per_atom=-4.3721 dos_at_fermi_per_ev_atom=1.73 spacegroup="I4/m, No. 87" ef_kj_per_mol_atoms=39 pbc="T T T"
Tb -10.831 -0.936 -0.586
Er -7.242 -0.043 -0.082
Er -8.730 -2.563 1.041
Er -18.281 -4.664 -0.616
Er -10.361 -0.973 3.195
Er -11.996 -3.899 -2.801
Er -13.627 -2.309 -0.647
Er -15.115 -4.829 0.476
Tb -5.832 -3.542 0.452
Er -4.076 -0.207 1.010
Tb -16.525 -1.329 -0.058
Th 0.000 0.000 0.000
Tb -11.526 -3.936 0.980
Er -8.830 -4.063 -1.709
Er -13.527 -0.808 2.103